No. 1
## CdTe2Au (PBE)

Data for an optimized crystal structure of CdTe2Au.

Lattice parameters (Å, degrees): 4.2147 5.2331 5.2388 70.92 90.00 90.00
Fractional coordinates of all 4 atoms:
Te 0.0000 0.0179 0.0179
Te 0.0000 0.4821 0.4821
Au 0.5000 0.2500 0.2500
Cd 0.5000 0.7500 0.7500

As for the symmetry: Cmmm, No. 65. The value obtained for the calculated volume is 27.3 Å³ per atom. For the formation energy (no corrections), the calculation gives -25 kJ/mol of formula units.

No. 2
## CdTe2Au (PBE)

Data for an optimized crystal structure of CdTe2Au.

Lattice parameters (Å, degrees): 5.9308 5.9308 5.9308 133.38 109.67 88.66
Fractional coordinates of all 4 atoms:
Te 0.1011 0.1011 0.0000
Te 0.6375 0.1375 0.5000
Au 0.4770 0.4770 0.0000
Cd 0.2843 0.7843 0.5000

As for the symmetry: Imm2, No. 44. The value obtained for the calculated volume is 34.0 Å³ per atom. For the formation energy (no corrections), the calculation gives -8 kJ/mol of formula units.

No. 3
## CdTe2Au (PBE)

Data for an optimized crystal structure of CdTe2Au.

Lattice parameters (Å, degrees): 5.2081 5.2081 5.2081 60.00 60.00 60.00
Fractional coordinates of all 4 atoms:
Te 0.0000 0.0000 0.0000
Te 0.7500 0.7500 0.7500
Au 0.5000 0.5000 0.5000
Cd 0.2500 0.2500 0.2500

As for the symmetry: F-43m, No. 216. The value obtained for the calculated volume is 25.0 Å³ per atom. For the formation energy (no corrections), the calculation gives 96 kJ/mol of formula units.

No. 4
## Cd2TeAu2 (PBE)

Data for an optimized crystal structure of Cd2TeAu2.

Lattice parameters (Å, degrees): 7.5729 7.5729 3.9383 90.00 90.00 90.00
Fractional coordinates of all 10 atoms:
Te 0.0000 0.0000 0.0000
Te 0.5000 0.5000 0.0000
Au 0.3653 0.8653 0.0000
Au 0.8653 0.6347 0.0000
Au 0.6347 0.1347 0.0000
Au 0.1347 0.3653 0.0000
Cd 0.1613 0.6613 0.5000
Cd 0.6613 0.8387 0.5000
Cd 0.8387 0.3387 0.5000
Cd 0.3387 0.1613 0.5000

As for the symmetry: P4/mbm, No. 127. The calculation puts the offset from the most stable computed form at 2.4 kJ/mol of atoms. The value obtained for the calculated volume is 22.6 Å³ per atom. For the formation energy (no corrections), the calculation gives -30 kJ/mol of formula units.

No. 5
## CdTeAu3 (PBE)

Data for an optimized crystal structure of CdTeAu3.

Lattice parameters (Å, degrees): 5.1480 5.1480 5.1480 90.00 90.00 90.00
Fractional coordinates of all 5 atoms:
Te 0.5000 0.5000 0.5000
Au 0.0000 0.5000 0.0000
Au 0.0000 0.0000 0.5000
Au 0.5000 0.0000 0.0000
Cd 0.0000 0.0000 0.0000

As for the symmetry: Pm-3m, No. 221. The calculation puts the offset from the most stable computed form at 25.2 kJ/mol of atoms. The value obtained for the calculated volume is 27.3 Å³ per atom. For the formation energy (no corrections), the calculation gives 331 kJ/mol of formula units.

No. 6
## CdTe2Au (PBE)

Data for an optimized crystal structure of CdTe2Au.

Lattice parameters (Å, degrees): 6.4732 6.4732 7.8657 65.70 65.70 90.00
Fractional coordinates of all 8 atoms:
Te 0.6430 0.1250 0.2500
Te 0.1070 0.6250 0.2500
Te 0.3750 0.3570 0.7500
Te 0.8750 0.8930 0.7500
Au 0.0000 0.0000 0.0000
Au 0.7500 0.2500 0.5000
Cd 0.5000 0.5000 0.0000
Cd 0.2500 0.7500 0.5000

As for the symmetry: I-42d, No. 122. The value obtained for the calculated volume is 33.5 Å³ per atom. For the formation energy (no corrections), the calculation gives -70 kJ/mol of formula units.

No. 7
## CdTe2Au (PBE)

Data for an optimized crystal structure of CdTe2Au.

Lattice parameters (Å, degrees): 5.7519 5.7519 5.7519 138.31 105.43 89.26
Fractional coordinates of all 4 atoms:
Te 0.9732 0.9732 0.0000
Te 0.5268 0.5268 0.0000
Au 0.7500 0.2500 0.5000
Cd 0.2500 0.7500 0.5000

As for the symmetry: Immm, No. 71. The value obtained for the calculated volume is 29.2 Å³ per atom. For the formation energy (no corrections), the calculation gives 20 kJ/mol of formula units.

No. 8
## CdTe2Au (PBE)

Data for an optimized crystal structure of CdTe2Au.

Lattice parameters (Å, degrees): 7.3430 7.3430 7.3430 33.21 33.21 33.21
Fractional coordinates of all 4 atoms:
Te 0.9941 0.9941 0.9941
Te 0.5059 0.5059 0.5059
Au 0.2500 0.2500 0.2500
Cd 0.7500 0.7500 0.7500

As for the symmetry: R-3m, No. 166. The value obtained for the calculated volume is 26.4 Å³ per atom. For the formation energy (no corrections), the calculation gives -45 kJ/mol of formula units.

No. 9
## TiCdTeAu2 (PBE)

Data for an optimized crystal structure of TiCdTeAu2.

Lattice parameters (Å, degrees): 5.0038 5.3941 5.0038 90.00 90.00 90.00
Fractional coordinates of all 5 atoms:
Ti 0.0000 0.0000 0.0000
Te 0.5000 0.5000 0.5000
Au 0.0000 0.0000 0.5000
Au 0.5000 0.0000 0.0000
Cd 0.0000 0.5000 0.0000

As for the symmetry: P4/mmm, No. 123. The value obtained for the calculated volume is 27.0 Å³ per atom. For the formation energy (no corrections), the calculation gives 316 kJ/mol of formula units.

No. 10
## Th2CdAu3 (PBE)

Data for an optimized crystal structure of Th2CdAu3.

Lattice parameters (Å, degrees): 5.9600 5.9600 9.1086 102.22 102.22 110.66
Fractional coordinates of all 12 atoms:
Th 0.2500 0.7500 0.5000
Th 0.7588 0.7588 0.0000
Th 0.7500 0.2500 0.5000
Th 0.2412 0.2412 0.0000
Cd 0.6663 0.6663 0.3326
Cd 0.3337 0.3337 0.6674
Au 0.3364 0.8312 0.1676
Au 0.1688 0.6636 0.8324
Au 0.6636 0.1688 0.8324
Au 0.8312 0.3364 0.1676
Au 0.1677 0.1677 0.3353
Au 0.8323 0.8323 0.6647

As for the symmetry: Fmmm, No. 69. The value obtained for the calculated volume is 23.4 Å³ per atom. The value obtained for the calculated total energy is -58.30 eV for the cell shown.

No. 11
## ThCdAu2 (PBE)

Data for an optimized crystal structure of ThCdAu2.

Lattice parameters (Å, degrees): 3.5011 3.5011 7.3810 90.00 90.00 90.00
Fractional coordinates of all 4 atoms:
Au 0.0000 0.0000 0.7693
Au 0.0000 0.0000 0.2307
Th 0.5000 0.5000 0.5000
Cd 0.5000 0.5000 0.0000

As for the symmetry: P4/mmm, No. 123. The value obtained for the calculated volume is 22.6 Å³ per atom. The value obtained for the calculated total energy is -16.69 eV for the cell shown.

No. 12
## Th2CdAu (PBE)

Data for an optimized crystal structure of Th2CdAu.

Lattice parameters (Å, degrees): 3.7539 3.7539 7.6674 90.00 90.00 90.00
Fractional coordinates of all 4 atoms:
Au 0.5000 0.5000 0.0000
Th 0.0000 0.0000 0.7618
Th 0.0000 0.0000 0.2382
Cd 0.5000 0.5000 0.5000

As for the symmetry: P4/mmm, No. 123. The calculation puts the offset from the most stable computed form at 0.0 kJ/mol of atoms. The value obtained for the calculated volume is 27.0 Å³ per atom.